Record 1
# Tb8Os2Au

A geometry-optimized Tb8Os2Au structure (PBE-GGA, Alexandria via LeMat-Bulk).

Cell: 7.6854 7.6854 5.7366 Å, 98.89 98.89 111.47°
Last column: nearest neighbours and their distance in Å.
Atoms (fractional coordinates):
Tb 0.0000 0.0000 0.0000  2 Os 2.98, 1 Au 3.15
Tb 0.0365 0.3017 0.6052  2 Os 2.83-2.86
Tb 0.1405 0.6057 0.1976  1 Au 3.02, 2 Os 3.03-3.05
Tb 0.3017 0.0365 0.6052  2 Os 2.83-2.86
Tb 0.4407 0.7057 0.7942  2 Os 2.83-2.87
Tb 0.6057 0.1405 0.1976  1 Au 3.02, 2 Os 3.03-3.05
Tb 0.7057 0.4407 0.7942  2 Os 2.83-2.87
Tb 0.7482 0.7482 0.3976  2 Os 2.97, 1 Au 3.22
Os 0.0597 0.6829 0.6993  8 Tb 2.83-3.05
Os 0.6829 0.0597 0.6993  8 Tb 2.83-3.05
Au 0.3758 0.3758 0.0929  8 Tb 3.02-3.33

Output
energy	-65.35	eV for the cell shown
E_form	-22.5	kJ/mol of atoms
total moment	0.00	μB per formula unit

=====

Record 2
# BeCdSbTe2

A geometry-optimized BeCdSbTe2 structure (PBE-GGA, Alexandria via LeMat-Bulk).

Cell: 5.6434 5.6434 5.4491 Å, 90.00 90.00 90.00°
Last column: nearest neighbours and their distance in Å.
Atoms (fractional coordinates):
Be 0.0000 0.0000 0.0000  8 Te 3.92, 4 Sb 3.99
Cd 0.5000 0.5000 0.5000  2 Sb 2.72, 4 Te 2.82
Sb 0.5000 0.5000 0.0000  2 Cd 2.72
Te 0.0000 0.5000 0.5000  2 Cd 2.82
Te 0.5000 0.0000 0.5000  2 Cd 2.82

Output
energy	-9.29	eV for the cell shown
E above lowest polymorph	0.777	eV/atom
uncorrected formation energy	1.152	eV/atom
total moment	0.40	μB per formula unit

=====

Record 3
# RbCaWS2

A geometry-optimized RbCaWS2 structure (PBE-GGA, Alexandria via LeMat-Bulk).

Cell: 5.6978 5.6978 5.3245 Å, 90.00 90.00 90.00°
Last column: nearest neighbours and their distance in Å.
Atoms (fractional coordinates):
Rb 0.0000 0.0000 0.0000  2 W 2.66, 4 S 2.85
Ca 0.5000 0.5000 0.5000  8 S 3.90, 4 W 4.03
W 0.0000 0.0000 0.5000  2 Rb 2.66
S 0.0000 0.5000 0.0000  2 Rb 2.85
S 0.5000 0.0000 0.0000  2 Rb 2.85

Output
energy	-16.39	eV for the cell shown
uncorrected formation energy	1.557	eV/atom
total moment	6.02	μB per formula unit

=====

Record 4
# AlAgP2

A geometry-optimized AlAgP2 structure (PBE-GGA, Alexandria via LeMat-Bulk).

Cell: 3.1901 3.1901 7.0440 Å, 90.00 90.00 90.00°
Last column: nearest neighbours and their distance in Å.
Atoms (fractional coordinates):
Al 0.0000 0.0000 0.0000  1 P 2.40, 4 Ag 2.66
Ag 0.5000 0.5000 0.8008  1 P 2.53, 4 Al 2.66
P 0.0000 0.0000 0.3410  4 P 2.37, 1 Al 2.40
P 0.5000 0.5000 0.4420  4 P 2.37, 1 Ag 2.53

Output
energy	-17.25	eV for the cell shown
E_form	3.8	kJ/mol of atoms
total moment	0.00	μB per formula unit

=====

Record 5
# LaFeW2

A geometry-optimized LaFeW2 structure (PBE-GGA, Alexandria via LeMat-Bulk).

Cell: 5.4430 9.9836 2.8140 Å, 90.00 109.26 90.00°
Last column: nearest neighbours and their distance in Å.
Atoms (fractional coordinates):
La 0.0000 0.0000 0.0000  2 Fe 2.72, 2 La 2.81, 4 W 2.97
La 0.5000 0.5000 0.0000  2 Fe 2.72, 2 La 2.81, 4 W 2.97
Fe 0.0000 0.5000 0.0000  2 La 2.72, 2 Fe 2.81, 4 W 2.97
Fe 0.5000 0.0000 0.0000  2 La 2.72, 2 Fe 2.81, 4 W 2.97
W 0.2500 0.2500 0.5000  4 W 2.72-2.81, 2 La 2.97, 2 Fe 2.97
W 0.2500 0.7500 0.5000  4 W 2.72-2.81, 2 La 2.97, 2 Fe 2.97
W 0.7500 0.2500 0.5000  4 W 2.72-2.81, 2 La 2.97, 2 Fe 2.97
W 0.7500 0.7500 0.5000  4 W 2.72-2.81, 2 La 2.97, 2 Fe 2.97

Output
energy	-72.26	eV for the cell shown
E_form	76.4	kJ/mol of atoms
E above lowest polymorph	0.291	eV/atom
total moment	1.81	μB per formula unit

=====

Record 6
# Er2MgTl9

A geometry-optimized Er2MgTl9 structure (PBE-GGA, Alexandria via LeMat-Bulk).

Cell: 4.7655 4.7655 14.3122 Å, 90.00 90.00 90.00°
Last column: nearest neighbours and their distance in Å.
Atoms (fractional coordinates):
Er 0.0000 0.0000 0.1615  12 Tl 3.32-3.44
Er 0.0000 0.0000 0.8385  12 Tl 3.32-3.44
Mg 0.0000 0.0000 0.5000  12 Tl 3.35-3.37
Tl 0.0000 0.5000 0.0000  4 Er 3.32, 8 Tl 3.37-3.38
Tl 0.0000 0.5000 0.3350  8 Tl 3.35-3.38, 2 Mg 3.35, 2 Er 3.44
Tl 0.0000 0.5000 0.6650  8 Tl 3.35-3.38, 2 Mg 3.35, 2 Er 3.44
Tl 0.5000 0.0000 0.0000  4 Er 3.32, 8 Tl 3.37-3.38
Tl 0.5000 0.0000 0.3350  8 Tl 3.35-3.38, 2 Mg 3.35, 2 Er 3.44
Tl 0.5000 0.0000 0.6650  8 Tl 3.35-3.38, 2 Mg 3.35, 2 Er 3.44
Tl 0.5000 0.5000 0.1678  4 Er 3.37, 8 Tl 3.38
Tl 0.5000 0.5000 0.5000  8 Tl 3.35, 4 Mg 3.37
Tl 0.5000 0.5000 0.8322  4 Er 3.37, 8 Tl 3.38

Output
energy	-33.26	eV for the cell shown
E_form	-10.0	kJ/mol of atoms
total moment	0.00	μB per formula unit

=====

Record 7
# Pm3Rh2

A geometry-optimized Pm3Rh2 structure (PBE-GGA, Alexandria via LeMat-Bulk).

Cell: 9.1705 9.1705 10.7333 Å, 97.34 97.34 27.11°
Last column: nearest neighbours and their distance in Å.
Atoms (fractional coordinates):
Pm 0.0000 0.0000 0.0000  4 Rh 2.93
Pm 0.0374 0.0374 0.6603  3 Rh 2.81-2.93
Pm 0.2920 0.2920 0.3802  4 Rh 2.88-3.10
Pm 0.3269 0.3269 0.0444  4 Rh 2.76-2.93
Pm 0.3757 0.3757 0.7200  5 Rh 2.81-2.93
Pm 0.6243 0.6243 0.2800  5 Rh 2.81-2.93
Pm 0.6731 0.6731 0.9556  4 Rh 2.76-2.93
Pm 0.7080 0.7080 0.6198  4 Rh 2.88-3.10
Pm 0.9626 0.9626 0.3397  3 Rh 2.81-2.93
Rh 0.1389 0.1389 0.4672  6 Pm 2.88-3.00
Rh 0.1788 0.1788 0.1348  6 Pm 2.88-3.10
Rh 0.4714 0.4714 0.1737  6 Pm 2.76-2.93
Rh 0.5286 0.5286 0.8263  6 Pm 2.76-2.93
Rh 0.8212 0.8212 0.8652  6 Pm 2.88-3.10
Rh 0.8611 0.8611 0.5328  6 Pm 2.88-3.00

Output
energy	-95.64	eV for the cell shown
E_form	-56.5	kJ/mol of atoms
E above lowest polymorph	0.025	eV/atom
total moment	0.00	μB per formula unit

=====

Record 8
# Dy12Ho2Th

A geometry-optimized Dy12Ho2Th structure (PBE-GGA, Alexandria via LeMat-Bulk).

Cell: 3.5941 5.6687 23.4941 Å, 90.00 94.36 90.00°
Last column: nearest neighbours and their distance in Å.
Atoms (fractional coordinates):
Dy 0.0356 0.0000 0.0669  5 Dy 3.13-3.48
Dy 0.0704 0.5000 0.1469  8 Dy 3.40-3.59, 2 Ho 3.70-3.71
Dy 0.1611 0.0000 0.3224  8 Dy 3.34-3.72, 4 Ho 3.47
Dy 0.2118 0.5000 0.4250  8 Dy 3.38-3.72, 2 Ho 3.73
Dy 0.2790 0.0000 0.5574  10 Dy 3.23-3.59
Dy 0.4041 0.0000 0.8061  10 Dy 3.47-3.59, 2 Ho 3.55
Dy 0.5959 0.0000 0.1939  10 Dy 3.47-3.59, 2 Ho 3.55
Dy 0.7210 0.0000 0.4426  10 Dy 3.23-3.59
Dy 0.7882 0.5000 0.5750  8 Dy 3.38-3.72, 2 Ho 3.73
Dy 0.8389 0.0000 0.6776  8 Dy 3.34-3.72, 4 Ho 3.47
Dy 0.9296 0.5000 0.8531  8 Dy 3.40-3.59, 2 Ho 3.70-3.71
Dy 0.9644 0.0000 0.9331  5 Dy 3.13-3.48
Ho 0.3582 0.5000 0.7147  10 Dy 3.47-3.73, 2 Ho 3.59
Ho 0.6418 0.5000 0.2853  10 Dy 3.47-3.73, 2 Ho 3.59
Th 0.5000 0.5000 0.0000  2 Th 3.59, 12 Dy 3.70-3.89

Output
energy	-70.65	eV for the cell shown
E_form	7.4	kJ/mol of atoms
total moment	0.00	μB per formula unit

=====

Record 9
# NdMnFeSi2

A geometry-optimized NdMnFeSi2 structure (PBE-GGA, Alexandria via LeMat-Bulk).

Cell: 3.9599 3.9599 10.3161 Å, 90.00 90.00 90.00°
Last column: nearest neighbours and their distance in Å.
Atoms (fractional coordinates):
Nd 0.0000 0.0000 0.0000  8 Si 3.09, 4 Mn 3.25, 4 Fe 3.25
Nd 0.5000 0.5000 0.5000  8 Si 3.09, 4 Mn 3.25, 4 Fe 3.25
Mn 0.0000 0.5000 0.2500  4 Si 2.35
Mn 0.5000 0.0000 0.7500  4 Si 2.35
Fe 0.0000 0.5000 0.7500  4 Si 2.35
Fe 0.5000 0.0000 0.2500  4 Si 2.35
Si 0.0000 0.0000 0.3730  2 Mn 2.35, 2 Fe 2.35, 1 Si 2.62
Si 0.0000 0.0000 0.6270  2 Mn 2.35, 2 Fe 2.35, 1 Si 2.62
Si 0.5000 0.5000 0.1270  2 Mn 2.35, 2 Fe 2.35, 1 Si 2.62
Si 0.5000 0.5000 0.8730  2 Mn 2.35, 2 Fe 2.35, 1 Si 2.62

Output
energy	-72.43	eV for the cell shown
uncorrected formation energy	-0.594	eV/atom
total moment	2.76	μB per formula unit

=====

Record 10
# HoPu6S8

A geometry-optimized HoPu6S8 structure (PBE-GGA, Alexandria via LeMat-Bulk).

Cell: 7.9258 7.9258 7.9258 Å, 60.00 60.00 60.00°
Last column: nearest neighbours and their distance in Å.
Atoms (fractional coordinates):
Ho 0.0000 0.0000 0.0000  6 S 2.75
Pu 0.0000 0.0000 0.5000  6 S 2.80
Pu 0.0000 0.5000 0.0000  6 S 2.80
Pu 0.0000 0.5000 0.5000  6 S 2.80
Pu 0.5000 0.0000 0.0000  6 S 2.80
Pu 0.5000 0.0000 0.5000  6 S 2.80
Pu 0.5000 0.5000 0.0000  6 S 2.80
S 0.2453 0.2453 0.7547  1 Ho 2.75, 4 Pu 2.80
S 0.2453 0.7547 0.2453  1 Ho 2.75, 4 Pu 2.80
S 0.2453 0.7547 0.7547  1 Ho 2.75, 4 Pu 2.80
S 0.2500 0.2500 0.2500  6 Pu 2.80
S 0.7500 0.7500 0.7500  6 Pu 2.80
S 0.7547 0.2453 0.2453  1 Ho 2.75, 4 Pu 2.80
S 0.7547 0.2453 0.7547  1 Ho 2.75, 4 Pu 2.80
S 0.7547 0.7547 0.2453  1 Ho 2.75, 4 Pu 2.80

Output
energy	-150.56	eV for the cell shown
uncorrected formation energy	-1.798	eV/atom
total moment	33.89	μB per formula unit

=====

Record 11
# Ga2Te2Se

A geometry-optimized Ga2Te2Se structure (PBE-GGA, Alexandria via LeMat-Bulk).

Cell: 7.9608 7.9608 3.7908 Å, 90.00 90.00 90.00°
Last column: nearest neighbours and their distance in Å.
Atoms (fractional coordinates):
Ga 0.1611 0.3389 0.0000  6 Te 2.83-3.13, 2 Se 2.99
Ga 0.3389 0.8389 0.0000  6 Te 2.83-3.13, 2 Se 2.99
Ga 0.6611 0.1611 0.0000  6 Te 2.83-3.13, 2 Se 2.99
Ga 0.8389 0.6611 0.0000  6 Te 2.83-3.13, 2 Se 2.99
Te 0.1523 0.6523 0.5000  6 Ga 2.83-3.13
Te 0.3477 0.1523 0.5000  6 Ga 2.83-3.13
Te 0.6523 0.8477 0.5000  6 Ga 2.83-3.13
Te 0.8477 0.3477 0.5000  6 Ga 2.83-3.13
Se 0.0000 0.0000 0.0000  4 Ga 2.99
Se 0.5000 0.5000 0.0000  4 Ga 2.99

Output
energy	-30.62	eV for the cell shown
uncorrected formation energy	0.102	eV/atom
total moment	0.00	μB per formula unit

=====

Record 12
# Sc2SiIr

A geometry-optimized Sc2SiIr structure (PBE-GGA, Alexandria via LeMat-Bulk).

Cell: 3.8969 3.8969 9.0440 Å, 90.00 90.00 90.00°
Last column: nearest neighbours and their distance in Å.
Atoms (fractional coordinates):
Sc 0.0000 0.0000 0.0000  4 Ir 2.76, 4 Sc 2.98, 4 Si 2.98
Sc 0.0000 0.5000 0.2500  4 Si 2.76, 4 Sc 2.98, 4 Ir 2.98
Sc 0.5000 0.0000 0.7500  4 Si 2.76, 4 Ir 2.98, 4 Sc 2.98
Sc 0.5000 0.5000 0.5000  4 Ir 2.76, 4 Sc 2.98, 4 Si 2.98
Si 0.0000 0.5000 0.7500  8 Sc 2.76-2.98, 4 Ir 2.98
Si 0.5000 0.0000 0.2500  8 Sc 2.76-2.98, 4 Ir 2.98
Ir 0.0000 0.0000 0.5000  8 Sc 2.76-2.98, 4 Si 2.98
Ir 0.5000 0.5000 0.0000  8 Sc 2.76-2.98, 4 Si 2.98

Output
energy	-59.30	eV for the cell shown
uncorrected formation energy	-0.675	eV/atom
total moment	0.00	μB per formula unit

=====

Question: The highest energy belongs to which entry?
Answer: BeCdSbTe2